# Pm2CuBi

Crystalline Pm2CuBi at its relaxed geometry (GGA-PBE, Alexandria via LeMat-Bulk).

abc: 5.3334 5.3334 5.3334
angles: 60.00 60.00 60.00
Closest atoms and distances in Å follow each position.
Fractional coordinates of all 4 atoms:
Pm 0.2500 0.2500 0.2500  4 Bi 3.27, 4 Cu 3.27
Pm 0.7500 0.7500 0.7500  4 Bi 3.27, 4 Cu 3.27
Cu 0.0000 0.0000 0.0000  8 Pm 3.27
Bi 0.5000 0.5000 0.5000  8 Pm 3.27

Results
Energy above the most stable polymorph in this dataset (eV/atom): 0.0188
E_tot (eV per atom): -4.75
Total magnetization (μB/atom): 0.000

***

# PmCu4Bi

Crystalline PmCu4Bi at its relaxed geometry (GGA-PBE, Alexandria via LeMat-Bulk).

abc: 5.3227 5.3227 5.3227
angles: 60.00 60.00 60.00
Closest atoms and distances in Å follow each position.
Fractional coordinates of all 6 atoms:
Pm 0.0000 0.0000 0.0000  12 Cu 3.12, 4 Bi 3.26
Cu 0.1237 0.6254 0.6254  6 Cu 2.65-2.67
Cu 0.6254 0.1237 0.6254  6 Cu 2.65-2.67
Cu 0.6254 0.6254 0.1237  6 Cu 2.65-2.67
Cu 0.6254 0.6254 0.6254  6 Cu 2.65-2.67
Bi 0.2500 0.2500 0.2500  12 Cu 3.12, 4 Pm 3.26

Results
E_tot (eV per atom): -4.27
Total magnetization (μB/atom): 0.000

***

# Pm3Cu3Bi4

Crystalline Pm3Cu3Bi4 at its relaxed geometry (GGA-PBE, Alexandria via LeMat-Bulk).

abc: 8.6304 8.6304 8.6304
angles: 109.47 109.47 109.47
Closest atoms and distances in Å follow each position.
Fractional coordinates of all 20 atoms:
Pm 0.1250 0.7500 0.8750  4 Cu 3.05
Pm 0.2500 0.6250 0.3750  4 Cu 3.05
Pm 0.3750 0.2500 0.6250  4 Cu 3.05
Pm 0.6250 0.3750 0.2500  4 Cu 3.05
Pm 0.7500 0.8750 0.1250  4 Cu 3.05
Pm 0.8750 0.1250 0.7500  4 Cu 3.05
Cu 0.1250 0.8750 0.2500  4 Bi 2.78, 4 Pm 3.05
Cu 0.2500 0.1250 0.8750  4 Bi 2.78, 4 Pm 3.05
Cu 0.3750 0.6250 0.7500  4 Bi 2.78, 4 Pm 3.05
Cu 0.6250 0.7500 0.3750  4 Bi 2.78, 4 Pm 3.05
Cu 0.7500 0.3750 0.6250  4 Bi 2.78, 4 Pm 3.05
Cu 0.8750 0.2500 0.1250  4 Bi 2.78, 4 Pm 3.05
Bi 0.0000 0.3348 0.5000  3 Cu 2.78
Bi 0.0000 0.8348 0.5000  3 Cu 2.78
Bi 0.1652 0.1652 0.1652  3 Cu 2.78
Bi 0.3348 0.5000 0.0000  3 Cu 2.78
Bi 0.5000 0.0000 0.3348  3 Cu 2.78
Bi 0.5000 0.0000 0.8348  3 Cu 2.78
Bi 0.6652 0.6652 0.6652  3 Cu 2.78
Bi 0.8348 0.5000 0.0000  3 Cu 2.78

Results
E_tot (eV per atom): -4.78
Total magnetization (μB/atom): 0.000

***

# Pm3CuBi

Crystalline Pm3CuBi at its relaxed geometry (GGA-PBE, Alexandria via LeMat-Bulk).

abc: 5.4252 5.4252 5.4252
angles: 90.00 90.00 90.00
Closest atoms and distances in Å follow each position.
Fractional coordinates of all 5 atoms:
Pm 0.0000 0.0000 0.5000  2 Cu 2.71
Pm 0.0000 0.5000 0.0000  2 Cu 2.71
Pm 0.5000 0.0000 0.0000  2 Cu 2.71
Cu 0.0000 0.0000 0.0000  6 Pm 2.71
Bi 0.5000 0.5000 0.5000  12 Pm 3.84

Results
E_tot (eV per atom): -4.63
Total magnetization (μB/atom): 0.000